Nd8Ge2Pd | PBE | relaxed

Cell and atoms, written as POSCAR:
```
Nd8Ge2Pd
1.0
4.907 0.000 0.000
0.000 6.990 0.284
-2.453 -2.617 9.315
Nd Pd Ge
8 1 2
Cartesian
2.453 3.184 5.514
0.000 1.190 4.085
0.000 5.331 0.650
0.000 1.526 7.693
0.000 -1.766 6.391
2.453 2.847 1.906
2.453 -0.958 8.950
2.453 6.139 3.209
2.453 0.000 0.000
2.453 0.063 5.973
0.000 4.311 3.627
```

For the size of the total moment, the calculation gives 0.00 μB per formula unit. Its formation energy is -416 meV/atom. The calculation puts the density of states at the Fermi level at 0.95 states/eV per atom.

=====

Nd3Ge4Pd2 | PBE | relaxed

Cell and atoms, written as POSCAR:
```
Nd3Ge4Pd2
1.0
-0.939 1.208 4.124
-4.731 -2.184 -2.783
4.319 -6.737 2.957
Ge Nd Pd
4 3 2
Cartesian
1.028 -7.209 2.346
-2.235 -4.718 3.219
-2.378 -0.504 1.952
0.885 -2.995 1.079
0.000 0.000 0.000
-2.535 -3.229 0.369
1.185 -4.484 3.929
-0.835 -2.340 2.841
-0.516 -5.373 1.457
```

For the size of the total moment, the calculation gives 0.00 μB per formula unit. Its formation energy is -853 meV/atom. The calculation puts the density of states at the Fermi level at 0.54 states/eV per atom.

=====

NdGe2Pd6 | PBE | relaxed

Cell and atoms, written as POSCAR:
```
NdGe2Pd6
1.0
5.592 0.000 0.000
-2.796 4.843 0.000
0.000 0.000 6.580
Pd Nd Ge
6 1 2
Cartesian
1.398 2.422 5.196
-1.398 2.422 1.384
2.797 0.000 1.384
1.397 2.420 1.384
-1.397 2.420 5.196
2.795 0.000 5.196
0.000 0.000 0.000
0.000 3.228 3.290
2.796 1.614 3.290
```

For the size of the total moment, the calculation gives 0.00 μB per formula unit. Its formation energy is -506 meV/atom. The excess energy over the best structure of this formula in the dataset comes out at 0 meV per atom. The calculation puts the density of states at the Fermi level at 0.30 states/eV per atom.

=====

Nd5GePd2 | PBE | relaxed

Cell and atoms, written as POSCAR:
```
Nd5GePd2
1.0
7.239 0.000 -3.417
-1.613 7.057 -3.417
-0.270 -0.339 8.804
Ge Pd Nd
2 4 10
Cartesian
1.271 1.595 2.693
4.084 5.123 -0.724
0.350 2.607 -1.709
1.272 6.135 -4.233
4.354 0.922 -2.601
5.276 4.450 -5.126
1.179 -0.129 5.526
-0.909 3.400 4.423
6.265 3.318 -2.453
0.842 5.597 -1.242
0.000 0.000 0.000
2.931 2.068 -0.139
2.424 4.649 2.109
2.813 3.528 -3.417
4.176 6.847 -3.556
4.513 1.121 3.212
```

For the size of the total moment, the calculation gives 0.00 μB per formula unit. Its formation energy is -599 meV/atom. The calculation puts the density of states at the Fermi level at 0.89 states/eV per atom.

=====

Nd2GePd6 | PBE | relaxed

Cell and atoms, written as POSCAR:
```
Nd2GePd6
1.0
5.877 -0.029 -0.017
0.028 5.787 0.006
0.028 2.889 5.014
Pd Ge Nd
6 1 2
Cartesian
4.086 4.270 0.857
1.861 7.171 4.150
1.847 5.776 1.729
4.086 2.871 3.275
1.847 4.377 4.147
4.072 1.476 0.854
0.000 0.000 0.000
1.079 2.887 1.671
4.855 5.760 3.334
```

For the size of the total moment, the calculation gives 0.00 μB per formula unit. Its formation energy is -765 meV/atom. The excess energy over the best structure of this formula in the dataset comes out at 0 meV per atom. The calculation puts the density of states at the Fermi level at 0.36 states/eV per atom.

=====

Nd7Ge2Pd2 | PBE | relaxed

Cell and atoms, written as POSCAR:
```
Nd7Ge2Pd2
1.0
0.276 6.912 0.281
-1.893 0.353 -6.824
-6.428 -1.946 1.682
Nd Pd Ge
7 2 2
Cartesian
-4.481 2.744 -4.085
0.000 0.000 0.000
-4.312 6.195 -3.832
-3.563 2.574 -0.776
-3.732 -0.876 -1.029
-1.236 3.712 -4.814
-6.808 1.607 -0.047
-3.523 4.745 -6.145
-4.521 0.573 1.284
-1.960 0.994 -3.089
-6.085 4.324 -1.773
```

For the size of the total moment, the calculation gives 0.00 μB per formula unit. Its formation energy is -353 meV/atom. The calculation puts the density of states at the Fermi level at 1.14 states/eV per atom.